A plane-wave DFT calculation with PBE was carried out for Ca3Zr after structural relaxation.

Properties
Distance to the lowest polymorph of the same formula, meV/atom: 87.1
Total energy, eV per cell: -13.176
Formation energy from the elements, kJ per mole of atoms: 33.2
SG: Cmmm

extended XYZ file:
```
4
Lattice="3.621 -5.357 0.000 3.621 5.357 0.000 0.000 0.000 3.544" Properties=species:S:1:pos:R:3 pbc="T T T"
Ca 0.000 0.000 0.000
Ca 1.811 2.679 1.772
Ca 1.811 -2.679 1.772
Zr 3.621 0.000 0.000
```